No. 1
A plane-wave DFT calculation with PBE was carried out for a relaxed FeCo14Ge crystal.

abc: 4.985 4.985 7.123
angles: 90.00 90.00 90.00
Element x y z (fractional)
Fe 0.000 0.000 0.000
Co 0.000 0.000 0.500
Co 0.000 0.500 0.000
Co 0.000 0.500 0.500
Co 0.248 0.248 0.256
Co 0.248 0.248 0.744
Co 0.248 0.752 0.256
Co 0.248 0.752 0.744
Co 0.500 0.000 0.000
Co 0.500 0.000 0.500
Co 0.500 0.500 0.500
Co 0.752 0.248 0.256
Co 0.752 0.248 0.744
Co 0.752 0.752 0.256
Co 0.752 0.752 0.744
Ge 0.500 0.500 0.000

The density of states at the Fermi level comes out at 19.154 states/eV per cell. The calculated volume comes out at 177.0 Å³/cell. The calculation puts the energy relative to the elements at -0.1 eV per formula unit. For the theoretical density, the calculation gives 8.9 g/cm3.

---

No. 2
A plane-wave DFT calculation with PBE was carried out for a relaxed FeCoGe crystal.

abc: 4.071 4.071 4.970
angles: 90.00 90.00 120.00
Element x y z (fractional)
Fe 0.333 0.667 0.250
Fe 0.667 0.333 0.750
Co 0.000 0.000 0.000
Co 0.000 0.000 0.500
Ge 0.333 0.667 0.750
Ge 0.667 0.333 0.250

The density of states at the Fermi level comes out at 10.862 states/eV per cell. The calculated volume comes out at 71.3 Å³/cell. The calculation puts the energy relative to the elements at 0.1 eV per formula unit. For the theoretical density, the calculation gives 8.7 g/cm3.

---

No. 3
A plane-wave DFT calculation with PBE was carried out for a relaxed Fe3Co4Ge crystal.

abc: 4.025 4.025 5.733
angles: 90.00 90.00 90.00
Element x y z (fractional)
Fe 0.000 0.000 0.000
Fe 0.000 0.000 0.500
Fe 0.500 0.500 0.000
Co 0.000 0.500 0.249
Co 0.000 0.500 0.751
Co 0.500 0.000 0.249
Co 0.500 0.000 0.751
Ge 0.500 0.500 0.500

The density of states at the Fermi level comes out at 4.865 states/eV per cell. The calculated volume comes out at 92.9 Å³/cell. The calculation puts the energy relative to the elements at -0.8 eV per formula unit. For the theoretical density, the calculation gives 8.5 g/cm3.